Record 1
DFT (PBE) results for an optimized crystal structure of PmSiO.

Cell lengths 5.0201, 11.0754, 7.9825 Å; angles 90.00, 90.00, 90.00 degrees
Space group Cmce (No. 64)
Unique sites:
1 Pm 0.0000 0.1585 0.0905 x8
2 Si 0.0000 0.0712 0.6239 x8
3 O 0.2500 0.0081 0.2500 x8

Formation energy from raw total energies in eV per atom: -1.2748

Record 2
DFT (PBE) results for an optimized crystal structure of NaSiBiS4.

Cell lengths 7.3439, 11.3970, 8.6674 Å; angles 90.00, 90.00, 90.00 degrees
Space group Cmcm (No. 63)
Unique sites:
1 Na 0.0000 0.0000 0.0000 x4
2 Si 0.0000 0.3614 0.2500 x4
3 Bi 0.0000 0.3411 0.7500 x4
4 S 0.0000 0.2514 0.0567 x8
5 S 0.2286 0.4837 0.2500 x8

Formation energy from raw total energies in eV per atom: -0.6516

Record 3
DFT (PBE) results for an optimized crystal structure of Sr2ScBr.

Cell lengths 3.7238, 6.3415, 12.1602 Å; angles 90.00, 90.00, 90.00 degrees
Space group Imm2 (No. 44)
Unique sites:
1 Sr 0.0000 0.0000 0.0000 x2
2 Sr 0.0000 0.5000 0.1952 x2
3 Sc 0.0000 0.5000 0.7759 x2
4 Br 0.0000 0.0000 0.4656 x2

Formation energy from raw total energies in eV per atom: -0.3409

Record 4
DFT (PBE) results for an optimized crystal structure of PmSmHo4S8.

Cell lengths 8.0664, 8.0664, 19.9339 Å; angles 90.00, 90.00, 120.00 degrees
Space group R3m (No. 160, hexagonal axes)
Unique sites:
1 Pm 0.0000 0.0000 0.0000 x3
2 Sm 0.0000 0.0000 0.6257 x3
3 Ho 0.0000 0.0000 0.2519 x3
4 Ho 0.0015 0.5008 0.1265 x9
5 S 0.0000 0.0000 0.3840 x3
6 S 0.0000 0.0000 0.8645 x3
7 S 0.0228 0.5114 0.3823 x9
8 S 0.1734 0.3469 0.2047 x9

Formation energy from raw total energies in eV per atom: -1.9247

Record 5
DFT (PBE) results for an optimized crystal structure of PrMg4Sn2.

Cell lengths 8.7369, 8.7369, 4.6228 Å; angles 90.00, 90.00, 90.00 degrees
Space group P4_2/mnm (No. 136)
Unique sites:
1 Pr 0.0000 0.0000 0.0000 x2
2 Mg 0.0963 0.3504 0.5000 x8
3 Sn 0.2029 0.7971 0.5000 x4

DFT formation energy in meV/atom: -333

Record 6
DFT (PBE) results for an optimized crystal structure of TlPb3Au.

Cell lengths 5.6215, 5.6215, 5.6215 Å; angles 90.00, 90.00, 90.00 degrees
Space group Pm-3m (No. 221)
Unique sites:
1 Tl 0.0000 0.0000 0.0000 x1
2 Pb 0.0000 0.5000 0.5000 x3
3 Au 0.5000 0.5000 0.5000 x1

DFT formation energy in meV/atom: 237